VASP calculation (GGA-PBE) on crystalline LiZnMo2 at its relaxed geometry.

Lattice parameters (Å, degrees): 2.567 4.229 5.636 90.00 90.00 90.00
Sites, in units of the cell vectors:
Li (0.000, 0.000, 0.000)
Zn (0.500, 0.500, 0.782)
Mo (0.000, 0.000, 0.506)
Mo (0.500, 0.500, 0.279)

Summary:
Total DFT energy (no corrections) in eV/atom: -5.964
Symmetry: Pmm2
Energy relative to the elements in eV per atom: 0.249
Total magnetic moment in μB per formula unit: 0.0